(1)
# Np2Al12Pt7

A relaxed Np2Al12Pt7 crystal (PBE, Alexandria).

Values from the calculation:
- formation energy (eV per atom) = -0.831
- size of the total moment (Bohr magnetons per cell) = 8.01
- crystal system = hexagonal
- raw total energy (eV per atom) = -6.215

Lattice parameters (Å, degrees): 4.1542 9.9825 9.9825 120.00 90.00 90.00
With the nearest neighbours (Å) after each atom.
Fractional coordinates of all 21 atoms:
Pt  0.0000  0.2152  0.2957  7 Al 2.53-2.64
Pt  0.0000  0.0805  0.7848  7 Al 2.53-2.64
Pt  0.5000  0.9104  0.3493  7 Al 2.50-2.61
Pt  0.5000  0.6507  0.5611  7 Al 2.50-2.61
Pt  0.0000  0.7043  0.9195  7 Al 2.53-2.64
Pt  0.5000  0.4389  0.0896  7 Al 2.50-2.61
Pt  0.0000  0.3333  0.6667  9 Al 2.52-2.80
Al  0.5000  0.2497  0.7985  5 Pt 2.55-2.80, 1 Al 2.82
Al  0.5000  0.9243  0.6175  4 Pt 2.50-2.63
Al  0.0000  0.8019  0.7233  4 Pt 2.53-2.60, 1 Al 2.76
Al  0.5000  0.5487  0.7503  5 Pt 2.55-2.80, 1 Al 2.82
Al  0.0000  0.4860  0.5278  4 Pt 2.52-2.57, 3 Al 2.76-2.82
Al  0.0000  0.2767  0.0785  4 Pt 2.53-2.60, 1 Al 2.76
Al  0.5000  0.3825  0.3068  4 Pt 2.50-2.63
Al  0.5000  0.6932  0.0757  4 Pt 2.50-2.63
Al  0.0000  0.0418  0.5140  4 Pt 2.52-2.57, 3 Al 2.76-2.82
Al  0.5000  0.2015  0.4513  5 Pt 2.55-2.80, 1 Al 2.82
Al  0.0000  0.4722  0.9582  4 Pt 2.52-2.57, 3 Al 2.76-2.82
Al  0.0000  0.9215  0.1981  4 Pt 2.53-2.60, 1 Al 2.76
Np  0.5000  0.0000  0.0000  9 Al 3.22-3.50, 6 Pt 3.36
Np  0.0000  0.6667  0.3333  6 Pt 3.14, 12 Al 3.24-3.42



(2)
# Ce2PrTlIr

A relaxed Ce2PrTlIr crystal (PBE, Alexandria).

Values from the calculation:
- formation energy (eV per atom) = -0.281
- size of the total moment (Bohr magnetons per cell) = 1.93
- crystal system = tetragonal
- raw total energy (eV per atom) = -5.856

Lattice parameters (Å, degrees): 5.3456 5.3457 5.8176 90.00 90.00 90.00
With the nearest neighbours (Å) after each atom.
Fractional coordinates of all 5 atoms:
Pr  0.0000  0.0000  0.4998  2 Ir 2.91
Ce  0.0000  0.5000  0.9996  2 Ir 2.67
Ce  0.5000  0.0000  0.9996  2 Ir 2.67
Tl  0.5000  0.5000  0.5011  4 Pr 3.78, 8 Ce 3.94-3.96
Ir  0.0000  0.0000  0.9999  4 Ce 2.67, 2 Pr 2.91



(3)
# PaCdHgPb

A relaxed PaCdHgPb crystal (PBE, Alexandria).

Values from the calculation:
- formation energy (eV per atom) = 0.140
- size of the total moment (Bohr magnetons per cell) = 0.93
- crystal system = cubic
- raw total energy (eV per atom) = -3.465

Lattice parameters (Å, degrees): 5.2518 5.2518 5.2518 60.00 60.00 60.00
With the nearest neighbours (Å) after each atom.
Fractional coordinates of all 4 atoms:
Cd  0.2500  0.2500  0.2500  4 Hg 3.22, 4 Pb 3.22
Pa  0.7500  0.7500  0.7500  4 Hg 3.22, 4 Pb 3.22
Pb  0.0000  0.0000  0.0000  4 Pa 3.22, 4 Cd 3.22
Hg  0.5000  0.5000  0.5000  4 Pa 3.22, 4 Cd 3.22



(4)
# ScZnCl4

A relaxed ScZnCl4 crystal (PBE, Alexandria).

Values from the calculation:
- E_form (uncorrected) (kJ/mol of atoms) = 7.51
- size of the total moment (Bohr magnetons per cell) = 1.00
- crystal system = cubic
- raw total energy (eV per atom) = -2.421

Lattice parameters (Å, degrees): 5.8135 5.8135 5.8135 60.00 60.00 60.00
With the nearest neighbours (Å) after each atom.
Fractional coordinates of all 6 atoms:
Cl  0.3753  0.3753  0.8740  6 Cl 2.90-2.91
Cl  0.3753  0.8740  0.3753  6 Cl 2.90-2.91
Cl  0.8740  0.3753  0.3753  6 Cl 2.90-2.91
Cl  0.3753  0.3753  0.3753  6 Cl 2.90-2.91
Sc  0.7500  0.7500  0.7500  12 Cl 3.41, 4 Zn 3.56
Zn  0.0000  0.0000  0.0000  12 Cl 3.41, 4 Sc 3.56



(5)
# Na6Tl5Cd

A relaxed Na6Tl5Cd crystal (PBE, Alexandria).

Values from the calculation:
- formation energy (eV per atom) = -0.093
- size of the total moment (Bohr magnetons per cell) = 0.00
- crystal system = monoclinic
- raw total energy (eV per atom) = -1.815

Lattice parameters (Å, degrees): 4.7138 9.1743 9.1743 108.29 105.03 105.03
With the nearest neighbours (Å) after each atom.
Fractional coordinates of all 12 atoms:
Na  0.2498  0.4175  0.0827  7 Tl 3.36-3.56, 4 Na 3.40-3.43, 1 Cd 3.47
Na  0.2482  0.7481  0.7481  6 Tl 3.35-3.44, 2 Cd 3.38-3.39, 4 Na 3.43
Na  0.7518  0.2519  0.2519  6 Tl 3.35-3.44, 2 Cd 3.38-3.39, 4 Na 3.43
Na  0.7502  0.5825  0.9173  7 Tl 3.36-3.56, 4 Na 3.40-3.43, 1 Cd 3.47
Na  0.7502  0.9173  0.5825  7 Tl 3.36-3.56, 4 Na 3.40-3.43, 1 Cd 3.47
Na  0.2498  0.0827  0.4175  7 Tl 3.36-3.56, 4 Na 3.40-3.43, 1 Cd 3.47
Tl  0.0000  0.3339  0.6661  8 Na 3.36-3.46, 4 Tl 3.41-3.54
Tl  0.0000  0.6661  0.3339  8 Na 3.36-3.46, 4 Tl 3.41-3.54
Tl  0.5000  0.5000  0.5000  8 Na 3.35-3.46, 4 Tl 3.41
Tl  0.5000  0.8438  0.1562  2 Cd 3.31, 8 Na 3.36-3.56, 2 Tl 3.54
Tl  0.5000  0.1562  0.8438  2 Cd 3.31, 8 Na 3.36-3.56, 2 Tl 3.54
Cd  0.0000  0.0000  0.0000  4 Tl 3.31, 8 Na 3.38-3.47



(6)
# ZrSbTe2F

A relaxed ZrSbTe2F crystal (PBE, Alexandria).

Values from the calculation:
- E above lowest polymorph (eV per formula unit) = 0.00
- E_form (uncorrected) (kJ/mol of atoms) = -19.99
- size of the total moment (Bohr magnetons per cell) = 0.00
- crystal system = tetragonal
- raw total energy (eV per atom) = -4.372

Lattice parameters (Å, degrees): 5.4791 5.4791 5.6129 90.00 90.00 90.00
With the nearest neighbours (Å) after each atom.
Fractional coordinates of all 5 atoms:
Zr  0.0000  0.0000  0.0000  4 Te 2.74, 2 Sb 2.81
Te  0.0000  0.5000  0.0000  2 Zr 2.74
Te  0.5000  0.0000  0.0000  2 Zr 2.74
Sb  0.0000  0.0000  0.5000  2 Zr 2.81
F  0.5000  0.5000  0.5000  4 Sb 3.87, 8 Te 3.92



(7)
# Sm2In8Hg

A relaxed Sm2In8Hg crystal (PBE, Alexandria).

Values from the calculation:
- formation energy (eV per atom) = -0.269
- size of the total moment (Bohr magnetons per cell) = 0.00
- crystal system = tetragonal
- raw total energy (eV per atom) = -3.146

Lattice parameters (Å, degrees): 4.7605 4.7605 12.8922 90.00 90.00 90.00
With the nearest neighbours (Å) after each atom.
Fractional coordinates of all 11 atoms:
Hg  0.0000  0.0000  0.0000  8 In 2.99
In  0.0000  0.5000  0.1403  2 Hg 2.99, 2 Sm 3.33, 2 In 3.34
In  0.5000  0.0000  0.8597  2 Hg 2.99, 2 Sm 3.33, 2 In 3.34
In  0.5000  0.5000  0.6785  8 In 3.31-3.34, 4 Sm 3.37
In  0.5000  0.5000  0.3215  8 In 3.31-3.34, 4 Sm 3.37
In  0.5000  0.0000  0.5000  8 In 3.31-3.37, 4 Sm 3.31
In  0.0000  0.5000  0.8597  2 Hg 2.99, 2 Sm 3.33, 2 In 3.34
In  0.5000  0.0000  0.1403  2 Hg 2.99, 2 Sm 3.33, 2 In 3.34
In  0.0000  0.5000  0.5000  8 In 3.31-3.37, 4 Sm 3.31
Sm  0.0000  0.0000  0.6787  12 In 3.31-3.37
Sm  0.0000  0.0000  0.3213  12 In 3.31-3.37



(8)
# KBa2Ge

A relaxed KBa2Ge crystal (PBE, Alexandria).

Values from the calculation:
- formation energy (eV per atom) = -0.253
- size of the total moment (Bohr magnetons per cell) = 0.00
- crystal system = tetragonal
- raw total energy (eV per atom) = -2.643

Lattice parameters (Å, degrees): 4.1789 4.1789 11.2803 90.00 90.00 90.00
With the nearest neighbours (Å) after each atom.
Fractional coordinates of all 4 atoms:
Ba  0.0000  0.0000  0.8403  4 Ge 3.46, 1 Ba 3.60
Ba  0.0000  0.0000  0.1597  4 Ge 3.46, 1 Ba 3.60
Ge  0.5000  0.5000  0.0000  8 Ba 3.46
K  0.5000  0.5000  0.5000  4 K 4.18